The following is a DFT calculation (PBE-GGA) of Mg4In5Sn after structural relaxation.

CIF file:
```
data_Mg4In5Sn
_chemical_formula_sum 'Mg4 In5 Sn1'
_symmetry_space_group_name_H-M 'P 4/m m m'
_symmetry_Int_Tables_number 123
_symmetry_space_group_name_Hall '-P 4 2'
_cell_length_a 3.648
_cell_length_b 3.648
_cell_length_c 18.513
_cell_angle_alpha 90.00
_cell_angle_beta 90.00
_cell_angle_gamma 90.00
loop_
_atom_site_label
_atom_site_type_symbol
_atom_site_fract_x
_atom_site_fract_y
_atom_site_fract_z
Mg1 Mg 0.000 0.000 0.095
Mg2 Mg 0.000 0.000 0.289
In1 In 0.500 0.500 0.000
In2 In 0.500 0.500 0.192
In3 In 0.500 0.500 0.387
Sn1 Sn 0.000 0.000 0.500
```

Values from the calculation:
The value obtained for the calculated volume is 24.6 Å³/atom. The value obtained for the formation energy is -0.04 eV per atom. The size of the total moment is 0.0 μB/f.u. Its total energy is -2.44 eV per atom.